Here is a geometry-optimized Dy3Sc7Tl2 structure from the Alexandria database. Energies are from PBE.

Cell lengths 10.693, 10.693, 10.693 Å; angles 33.51, 33.51, 33.51 degrees
Positions (direct):
Dy (0.000, 0.000, 0.000)
Dy (0.145, 0.145, 0.145)
Dy (0.855, 0.855, 0.855)
Sc (0.083, 0.582, 0.582)
Sc (0.418, 0.418, 0.917)
Sc (0.418, 0.917, 0.418)
Sc (0.500, 0.500, 0.500)
Sc (0.582, 0.083, 0.582)
Sc (0.582, 0.582, 0.083)
Sc (0.917, 0.418, 0.418)
Tl (0.333, 0.333, 0.333)
Tl (0.667, 0.667, 0.667)

Summary:
Formation energy from the elements, kJ/mol of atoms: 7.9
E, eV per atom: -5.1569
Crystal system: trigonal
D(E_F), states/eV/atom: 2.0885